Crystalline YTcAs2 at its relaxed geometry, computed with PBE.

Unit cell a=3.4169 b=3.4169 c=6.4692 alpha=90.00 beta=90.00 gamma=89.99
Fractional coordinates of all 4 atoms:
Y (0.5000, 0.5000, 0.7629)
As (0.0000, 0.0000, 0.0201)
As (0.5000, 0.5000, 0.2839)
Tc (0.0000, 0.0000, 0.4331)

Properties
- Excess energy over the best structure of this formula in the dataset: 0.252 eV/atom
- E_form: -0.36 eV/atom
- SG: P4mm
- N(E_F): 1.6 states/eV/cell

Crystalline YTc2As at its relaxed geometry, computed with PBE.

Unit cell a=8.7666 b=8.7666 c=8.7666 alpha=20.69 beta=20.69 gamma=20.69
Fractional coordinates of all 4 atoms:
Y (0.5026, 0.5026, 0.5026)
As (0.7370, 0.7370, 0.7370)
Tc (0.0028, 0.0028, 0.0028)
Tc (0.2577, 0.2577, 0.2577)

Properties
- Excess energy over the best structure of this formula in the dataset: 0.550 eV/atom
- E_form: 0.19 eV/atom
- SG: R3m
- N(E_F): 3.8 states/eV/cell

Crystalline Y2TcAs at its relaxed geometry, computed with PBE.

Unit cell a=3.8802 b=4.2191 c=5.8680 alpha=68.91 beta=90.00 gamma=90.00
Fractional coordinates of all 4 atoms:
Y (0.0000, 0.9892, 0.8969)
Y (0.5000, 0.2685, 0.3379)
As (0.0000, 0.6984, 0.4780)
Tc (0.5000, 0.5438, 0.7873)

Properties
- Excess energy over the best structure of this formula in the dataset: 0.000 eV/atom
- E_form: -0.62 eV/atom
- SG: Amm2
- N(E_F): 2.1 states/eV/cell

Crystalline YTcAs3 at its relaxed geometry, computed with PBE.

Unit cell a=4.8506 b=4.8506 c=4.8506 alpha=90.00 beta=90.00 gamma=90.00
Fractional coordinates of all 5 atoms:
Y (0.5000, 0.5000, 0.5000)
As (0.0000, 0.5000, 0.0000)
As (0.0000, 0.0000, 0.5000)
As (0.5000, 0.0000, 0.0000)
Tc (0.0000, 0.0000, 0.0000)

Properties
- Excess energy over the best structure of this formula in the dataset: 0.000 eV/atom
- E_form: 0.02 eV/atom
- SG: Pm-3m
- N(E_F): 5.8 states/eV/cell

Question: Look up the N(E_F) of the first one.
Answer: 1.6 states/eV/cell